1.
Y3AlGa12 | PBE-GGA | relaxed

Lattice parameters (Å, degrees): 4.246 4.246 17.098 90.00 90.00 90.00
Space group P4/mmm (No. 123)
Asymmetric unit:
Y  0.000  0.000  0.000 (multiplicity 1)
Y  0.000  0.000  0.254 (multiplicity 2)
Al  0.000  0.000  0.500 (multiplicity 1)
Ga  0.000  0.500  0.127 (multiplicity 4)
Ga  0.000  0.500  0.386 (multiplicity 4)
Ga  0.500  0.500  0.000 (multiplicity 1)
Ga  0.500  0.500  0.246 (multiplicity 2)
Ga  0.500  0.500  0.500 (multiplicity 1)

ΔE_f = -0.374 eV/atom
Total energy = -4.090 eV/atom

---

2.
Er4SbPbS2 | PBE-GGA | relaxed

Lattice parameters (Å, degrees): 7.194 4.036 7.247 90.00 108.79 90.00
Space group P2/m (No. 10)
Asymmetric unit:
Er  0.235  0.000  0.221 (multiplicity 2)
Er  0.258  0.500  0.775 (multiplicity 2)
Sb  0.000  0.000  0.500 (multiplicity 1)
Pb  0.500  0.500  0.500 (multiplicity 1)
S  0.000  0.500  0.000 (multiplicity 1)
S  0.500  0.000  0.000 (multiplicity 1)

E_form (uncorrected) = -1.30 eV/atom
Total energy = -5.590 eV/atom

---

3.
Cu2SO6 | PBE-GGA | relaxed

Lattice parameters (Å, degrees): 8.682 12.191 4.068 90.00 114.60 90.00
Space group C2/c (No. 15)
Asymmetric unit:
Cu  0.135  0.093  0.111 (multiplicity 8)
S  0.000  0.325  0.750 (multiplicity 4)
O  0.103  0.257  0.069 (multiplicity 8)
O  0.114  0.072  0.596 (multiplicity 8)
O  0.116  0.399  0.663 (multiplicity 8)

E_form (uncorrected) = -0.72 eV/atom
Offset from the most stable computed form = 0.00 eV/f.u.
Total energy = -5.392 eV/atom

---

4.
HfFe2Cu | PBE-GGA | relaxed

Lattice parameters (Å, degrees): 6.010 6.010 6.010 90.00 90.00 90.00
Space group Fm-3m (No. 225)
Asymmetric unit:
Hf  0.000  0.000  0.000 (multiplicity 4)
Fe  0.250  0.250  0.250 (multiplicity 8)
Cu  0.000  0.000  0.500 (multiplicity 4)

ΔE_f = 0.078 eV/atom
Total energy = -7.665 eV/atom